1.
{
  "formula": "Ir3AuS",
  "functional": "PBE",
  "state": "optimized geometry",
  "cell": [[4.903, 0.000, 0.000], [0.000, 4.903, 0.000], [0.000, 0.000, 4.903]],
  "species": ["Ir", "Ir", "Ir", "Au", "S"],
  "frac_coords": [[0.000, 0.000, 0.500], [0.000, 0.500, 0.000], [0.500, 0.000, 0.000], [0.000, 0.000, 0.000], [0.500, 0.500, 0.500]],
  "e_above_lowest_polymorph_mev_per_atom": 1807.9,
  "vol_a3_per_cell": 118,
  "dos_ef_per_ev_fu": 13.55,
  "space_group": "Pm-3m",
  "final_energy_ev_per_atom": -4.1786
}



2.
{
  "formula": "IrAuS2",
  "functional": "PBE",
  "state": "optimized geometry",
  "cell": [[7.053, -1.805, 0.000], [7.053, 1.805, 0.000], [-1.844, 0.000, 6.004]],
  "species": ["Ir", "Ir", "Au", "Au", "S", "S", "S", "S"],
  "frac_coords": [[0.000, 0.500, 0.000], [0.500, 0.000, 0.500], [0.000, 0.000, 0.000], [0.000, 0.000, 0.500], [0.074, 0.598, 0.388], [0.402, 0.926, 0.112], [0.598, 0.074, 0.888], [0.926, 0.402, 0.612]],
  "vol_a3_per_cell": 153,
  "dos_ef_per_ev_fu": 0.00,
  "space_group": "C2/c",
  "final_energy_ev_per_atom": -5.3363
}



3.
{
  "formula": "IrAuS2",
  "functional": "PBE",
  "state": "optimized geometry",
  "cell": [[3.724, -6.046, 0.000], [3.724, 6.046, 0.000], [0.000, 0.000, 3.580]],
  "species": ["Ir", "Ir", "Au", "Au", "S", "S", "S", "S"],
  "frac_coords": [[0.000, 0.000, 0.000], [0.500, 0.500, 0.500], [0.000, 0.500, 0.000], [0.500, 0.000, 0.000], [0.189, 0.189, 0.500], [0.367, 0.633, 0.000], [0.633, 0.367, 0.000], [0.811, 0.811, 0.500]],
  "vol_a3_per_cell": 161,
  "dos_ef_per_ev_fu": 0.07,
  "space_group": "Cmmm",
  "final_energy_ev_per_atom": -5.2509
}



4.
{
  "formula": "IrAuS2",
  "functional": "PBE",
  "state": "optimized geometry",
  "cell": [[-2.488, 2.488, 5.601], [2.488, -2.488, 5.601], [2.488, 2.488, -5.601]],
  "species": ["Ir", "Ir", "Au", "Au", "S", "S", "S", "S"],
  "frac_coords": [[0.375, 0.625, 0.750], [0.625, 0.375, 0.250], [0.125, 0.875, 0.250], [0.875, 0.125, 0.750], [0.162, 0.412, 0.750], [0.412, 0.162, 0.250], [0.588, 0.838, 0.750], [0.838, 0.588, 0.250]],
  "vol_a3_per_cell": 139,
  "dos_ef_per_ev_fu": 2.54,
  "space_group": "I4_1/amd",
  "final_energy_ev_per_atom": -4.9559
}



5.
{
  "formula": "IrAuS2",
  "functional": "PBE",
  "state": "optimized geometry",
  "cell": [[2.350, -5.124, 0.000], [2.350, 5.124, 0.000], [-0.457, 0.000, 6.327]],
  "species": ["Ir", "Ir", "Au", "Au", "S", "S", "S", "S"],
  "frac_coords": [[0.082, 0.918, 0.750], [0.918, 0.082, 0.250], [0.263, 0.737, 0.250], [0.737, 0.263, 0.750], [0.162, 0.325, 0.578], [0.325, 0.162, 0.078], [0.675, 0.838, 0.922], [0.838, 0.675, 0.422]],
  "vol_a3_per_cell": 152,
  "dos_ef_per_ev_fu": 1.67,
  "space_group": "C2/c",
  "final_energy_ev_per_atom": -4.9390
}



6.
{
  "formula": "IrAuS2",
  "functional": "PBE",
  "state": "optimized geometry",
  "cell": [[4.168, -2.249, 0.000], [4.168, 2.249, 0.000], [-1.670, 0.000, 8.214]],
  "species": ["Ir", "Ir", "Au", "Au", "S", "S", "S", "S"],
  "frac_coords": [[0.040, 0.040, 0.210], [0.960, 0.960, 0.790], [0.166, 0.166, 0.562], [0.834, 0.834, 0.438], [0.178, 0.178, 0.003], [0.442, 0.442, 0.718], [0.558, 0.558, 0.282], [0.822, 0.822, 0.997]],
  "vol_a3_per_cell": 154,
  "dos_ef_per_ev_fu": 1.84,
  "space_group": "C2/m",
  "final_energy_ev_per_atom": -4.9813
}



7.
{
  "formula": "IrAuS2",
  "functional": "PBE",
  "state": "optimized geometry",
  "cell": [[1.447, -11.372, 0.000], [1.447, 11.372, 0.000], [0.000, 0.000, 4.456]],
  "species": ["Ir", "Ir", "Au", "Au", "S", "S", "S", "S"],
  "frac_coords": [[0.063, 0.937, 0.750], [0.937, 0.063, 0.250], [0.318, 0.682, 0.750], [0.682, 0.318, 0.250], [0.040, 0.960, 0.250], [0.166, 0.834, 0.750], [0.834, 0.166, 0.250], [0.960, 0.040, 0.750]],
  "vol_a3_per_cell": 147,
  "dos_ef_per_ev_fu": 1.92,
  "space_group": "Cmcm",
  "final_energy_ev_per_atom": -4.9416
}



8.
{
  "formula": "IrAuS2",
  "functional": "PBE",
  "state": "optimized geometry",
  "cell": [[3.615, 0.000, 0.000], [-1.807, 3.130, 0.000], [0.000, 0.000, 13.922]],
  "species": ["Ir", "Ir", "Au", "Au", "S", "S", "S", "S"],
  "frac_coords": [[0.000, 0.000, 0.000], [0.000, 0.000, 0.500], [0.333, 0.667, 0.250], [0.667, 0.333, 0.750], [0.333, 0.667, 0.083], [0.333, 0.667, 0.417], [0.667, 0.333, 0.583], [0.667, 0.333, 0.917]],
  "vol_a3_per_cell": 158,
  "space_group": "P6_3/mmc",
  "final_energy_ev_per_atom": -5.4132
}



| no. | ΔE_f (raw) (eV per atom) |
| --- | --- |
| 1 | 2.62 |
| 2 | -0.24 |
| 3 | -0.15 |
| 4 | 0.14 |
| 5 | 0.16 |
| 6 | 0.12 |
| 7 | 0.16 |
| 8 | -0.31 |